Entry 1:
# LaSb2OsI, optimized geometry, DFT PBE-GGA
# calculated volume = 149 Å³ per cell
# crystal system = tetragonal
# energy relative to the elements, uncorrected = 0.119 eV per atom
data_LaSb2OsI
_cell_length_a 5.1338
_cell_length_b 5.1338
_cell_length_c 5.6408
_cell_angle_alpha 90.00
_cell_angle_beta 90.00
_cell_angle_gamma 90.00
_symmetry_space_group_name_H-M 'P 4/m m m'
_symmetry_Int_Tables_number 123
_symmetry_space_group_name_Hall '-P 4 2'
loop_
_atom_site_label
_atom_site_type_symbol
_atom_site_fract_x
_atom_site_fract_y
_atom_site_fract_z
La1 La 0.0000 0.0000 0.0000
Sb1 Sb 0.0000 0.5000 0.5000
Os1 Os 0.5000 0.5000 0.5000
I1 I 0.5000 0.5000 0.0000

=====

Entry 2:
# LaSbOsI2, optimized geometry, DFT PBE-GGA
# calculated volume = 151 Å³ per cell
# crystal system = tetragonal
# energy relative to the elements, uncorrected = 0.148 eV per atom
data_LaSbOsI2
_cell_length_a 5.3917
_cell_length_b 5.3917
_cell_length_c 5.1962
_cell_angle_alpha 90.00
_cell_angle_beta 90.00
_cell_angle_gamma 90.00
_symmetry_space_group_name_H-M 'P 4/m m m'
_symmetry_Int_Tables_number 123
_symmetry_space_group_name_Hall '-P 4 2'
loop_
_atom_site_label
_atom_site_type_symbol
_atom_site_fract_x
_atom_site_fract_y
_atom_site_fract_z
La1 La 0.0000 0.0000 0.0000
Sb1 Sb 0.5000 0.5000 0.0000
Os1 Os 0.5000 0.5000 0.5000
I1 I 0.0000 0.5000 0.5000

=====

Entry 3:
# LaSb2OsI, optimized geometry, DFT PBE-GGA
# calculated volume = 226 Å³ per cell
# crystal system = tetragonal
# energy relative to the elements, uncorrected = 1.467 eV per atom
data_LaSb2OsI
_cell_length_a 6.1272
_cell_length_b 6.1272
_cell_length_c 6.0214
_cell_angle_alpha 90.00
_cell_angle_beta 90.00
_cell_angle_gamma 90.00
_symmetry_space_group_name_H-M 'P 4/m m m'
_symmetry_Int_Tables_number 123
_symmetry_space_group_name_Hall '-P 4 2'
loop_
_atom_site_label
_atom_site_type_symbol
_atom_site_fract_x
_atom_site_fract_y
_atom_site_fract_z
La1 La 0.0000 0.0000 0.0000
Sb1 Sb 0.0000 0.5000 0.0000
Os1 Os 0.5000 0.5000 0.5000
I1 I 0.0000 0.0000 0.5000

=====

Entry 4:
# La8SbOs3I4, optimized geometry, DFT PBE-GGA
# calculated volume = 1086 Å³ per cell
# crystal system = monoclinic
# energy relative to the elements, uncorrected = -0.883 eV per atom
data_La8SbOs3I4
_cell_length_a 15.1998
_cell_length_b 8.7750
_cell_length_c 9.5878
_cell_angle_alpha 90.00
_cell_angle_beta 121.91
_cell_angle_gamma 90.00
_symmetry_space_group_name_H-M 'C 1 2/m 1'
_symmetry_Int_Tables_number 12
loop_
_symmetry_equiv_pos_as_xyz
'x,y,z'
'-x,-y,-z'
'-x,y,-z'
'x,-y,z'
'x+1/2,y+1/2,z'
'-x+1/2,-y+1/2,-z'
'-x+1/2,y+1/2,-z'
'x+1/2,-y+1/2,z'
loop_
_atom_site_label
_atom_site_type_symbol
_atom_site_fract_x
_atom_site_fract_y
_atom_site_fract_z
La1 La 0.0272 0.2284 0.3130
La2 La 0.2308 0.0000 0.6914
La3 La 0.2433 0.5000 0.6849
Sb1 Sb 0.0000 0.5000 0.5000
Os1 Os 0.0000 0.0000 0.5000
Os2 Os 0.2500 0.2500 0.5000
I1 I 0.0000 0.0000 0.0000
I2 I 0.0000 0.5000 0.0000
I3 I 0.2500 0.2500 0.0000

=====

Entry 5:
# La4OsSeI2, optimized geometry, DFT PBE-GGA
# calculated volume = 264 Å³ per cell
# crystal system = monoclinic
# energy relative to the elements, uncorrected = -1.122 eV per atom
data_La4OsSeI2
_cell_length_a 7.7723
_cell_length_b 4.2629
_cell_length_c 8.2977
_cell_angle_alpha 90.00
_cell_angle_beta 106.17
_cell_angle_gamma 90.00
_symmetry_space_group_name_H-M 'P 1 2/m 1'
_symmetry_Int_Tables_number 10
loop_
_symmetry_equiv_pos_as_xyz
'x,y,z'
'-x,-y,-z'
'-x,y,-z'
'x,-y,z'
loop_
_atom_site_label
_atom_site_type_symbol
_atom_site_fract_x
_atom_site_fract_y
_atom_site_fract_z
La1 La 0.2073 0.0000 0.1902
La2 La 0.2454 0.5000 0.8052
Os1 Os 0.0000 0.5000 0.0000
Se1 Se 0.5000 0.0000 0.0000
I1 I 0.0000 0.0000 0.5000
I2 I 0.5000 0.5000 0.5000

=====

Entry 6:
# La4OsSe2I, optimized geometry, DFT PBE-GGA
# calculated volume = 242 Å³ per cell
# crystal system = monoclinic
# energy relative to the elements, uncorrected = -1.228 eV per atom
data_La4OsSe2I
_cell_length_a 7.5490
_cell_length_b 4.2746
_cell_length_c 7.8583
_cell_angle_alpha 90.00
_cell_angle_beta 107.59
_cell_angle_gamma 90.00
_symmetry_space_group_name_H-M 'P 1 2/m 1'
_symmetry_Int_Tables_number 10
loop_
_symmetry_equiv_pos_as_xyz
'x,y,z'
'-x,-y,-z'
'-x,y,-z'
'x,-y,z'
loop_
_atom_site_label
_atom_site_type_symbol
_atom_site_fract_x
_atom_site_fract_y
_atom_site_fract_z
La1 La 0.2408 0.0000 0.2227
La2 La 0.2434 0.5000 0.7936
Os1 Os 0.0000 0.5000 0.0000
Se1 Se 0.5000 0.0000 0.0000
Se2 Se 0.5000 0.5000 0.5000
I1 I 0.0000 0.0000 0.5000

=====

Entry 7:
# La6Os2SeI3, optimized geometry, DFT PBE-GGA
# calculated volume = 790 Å³ per cell
# crystal system = monoclinic
# energy relative to the elements, uncorrected = -1.017 eV per atom
data_La6Os2SeI3
_cell_length_a 7.4977
_cell_length_b 12.9639
_cell_length_c 8.5011
_cell_angle_alpha 90.00
_cell_angle_beta 107.08
_cell_angle_gamma 90.00
_symmetry_space_group_name_H-M 'C 1 2/m 1'
_symmetry_Int_Tables_number 12
loop_
_symmetry_equiv_pos_as_xyz
'x,y,z'
'-x,-y,-z'
'-x,y,-z'
'x,-y,z'
'x+1/2,y+1/2,z'
'-x+1/2,-y+1/2,-z'
'-x+1/2,y+1/2,-z'
'x+1/2,-y+1/2,z'
loop_
_atom_site_label
_atom_site_type_symbol
_atom_site_fract_x
_atom_site_fract_y
_atom_site_fract_z
La1 La 0.2063 0.0000 0.1896
La2 La 0.2410 0.3216 0.1901
Os1 Os 0.0000 0.1670 0.0000
Se1 Se 0.0000 0.5000 0.0000
I1 I 0.0000 0.0000 0.5000
I2 I 0.0000 0.3370 0.5000

=====

Entry 8:
# La8SiOs3I4, optimized geometry, DFT PBE-GGA
# calculated volume = 1570 Å³ per cell
# crystal system = trigonal
# energy relative to the elements, uncorrected = -0.770 eV per atom
data_La8SiOs3I4
_cell_length_a 8.6202
_cell_length_b 8.6202
_cell_length_c 24.3981
_cell_angle_alpha 90.00
_cell_angle_beta 90.00
_cell_angle_gamma 120.00
_symmetry_space_group_name_H-M 'R -3 m'
_symmetry_Int_Tables_number 166
_symmetry_space_group_name_Hall '-R 3 2"'
loop_
_atom_site_label
_atom_site_type_symbol
_atom_site_fract_x
_atom_site_fract_y
_atom_site_fract_z
La1 La 0.0000 0.0000 0.2313
La2 La 0.0157 0.5079 0.7724
Si1 Si 0.0000 0.0000 0.5000
Os1 Os 0.0000 0.5000 0.5000
I1 I 0.0000 0.0000 0.0000
I2 I 0.0000 0.5000 0.0000

=====

Entry 9:
# LaSmOsI, optimized geometry, DFT PBE-GGA
# calculated volume = 373 Å³ per cell
# crystal system = trigonal
# energy relative to the elements, uncorrected = -0.558 eV per atom
data_LaSmOsI
_cell_length_a 4.1883
_cell_length_b 4.1883
_cell_length_c 24.5359
_cell_angle_alpha 90.00
_cell_angle_beta 90.00
_cell_angle_gamma 120.00
_symmetry_space_group_name_H-M 'R 3 m'
_symmetry_Int_Tables_number 160
_symmetry_space_group_name_Hall 'R 3 -2"'
loop_
_atom_site_label
_atom_site_type_symbol
_atom_site_fract_x
_atom_site_fract_y
_atom_site_fract_z
La1 La 0.0000 0.0000 0.0000
Sm1 Sm 0.0000 0.0000 0.7888
Os1 Os 0.0000 0.0000 0.3937
I1 I 0.0000 0.0000 0.2232

=====

Entry 10:
# La8SnOs3I4, optimized geometry, DFT PBE-GGA
# calculated volume = 1079 Å³ per cell
# crystal system = monoclinic
# energy relative to the elements, uncorrected = -0.756 eV per atom
data_La8SnOs3I4
_cell_length_a 15.1515
_cell_length_b 8.7459
_cell_length_c 9.5831
_cell_angle_alpha 90.00
_cell_angle_beta 121.85
_cell_angle_gamma 90.00
_symmetry_space_group_name_H-M 'C 1 2/m 1'
_symmetry_Int_Tables_number 12
loop_
_symmetry_equiv_pos_as_xyz
'x,y,z'
'-x,-y,-z'
'-x,y,-z'
'x,-y,z'
'x+1/2,y+1/2,z'
'-x+1/2,-y+1/2,-z'
'-x+1/2,y+1/2,-z'
'x+1/2,-y+1/2,z'
loop_
_atom_site_label
_atom_site_type_symbol
_atom_site_fract_x
_atom_site_fract_y
_atom_site_fract_z
La1 La 0.0286 0.2285 0.3148
La2 La 0.2313 0.0000 0.6934
La3 La 0.2428 0.5000 0.6851
Sn1 Sn 0.0000 0.5000 0.5000
Os1 Os 0.0000 0.0000 0.5000
Os2 Os 0.2500 0.2500 0.5000
I1 I 0.0000 0.0000 0.0000
I2 I 0.0000 0.5000 0.0000
I3 I 0.2500 0.2500 0.0000

=====

Entry 11:
# La6SnOs2I3, optimized geometry, DFT PBE-GGA
# calculated volume = 817 Å³ per cell
# crystal system = monoclinic
# energy relative to the elements, uncorrected = -0.801 eV per atom
data_La6SnOs2I3
_cell_length_a 7.5884
_cell_length_b 13.1512
_cell_length_c 8.5835
_cell_angle_alpha 90.00
_cell_angle_beta 107.42
_cell_angle_gamma 90.00
_symmetry_space_group_name_H-M 'C 1 2/m 1'
_symmetry_Int_Tables_number 12
loop_
_symmetry_equiv_pos_as_xyz
'x,y,z'
'-x,-y,-z'
'-x,y,-z'
'x,-y,z'
'x+1/2,y+1/2,z'
'-x+1/2,-y+1/2,-z'
'-x+1/2,y+1/2,-z'
'x+1/2,-y+1/2,z'
loop_
_atom_site_label
_atom_site_type_symbol
_atom_site_fract_x
_atom_site_fract_y
_atom_site_fract_z
La1 La 0.1951 0.0000 0.1914
La2 La 0.2474 0.3151 0.1929
Sn1 Sn 0.0000 0.5000 0.0000
Os1 Os 0.0000 0.1671 0.0000
I1 I 0.0000 0.0000 0.5000
I2 I 0.0000 0.3404 0.5000

=====

Entry 12:
# La6TcOs2I3, optimized geometry, DFT PBE-GGA
# calculated volume = 771 Å³ per cell
# crystal system = monoclinic
# energy relative to the elements, uncorrected = -0.570 eV per atom
data_La6TcOs2I3
_cell_length_a 7.3964
_cell_length_b 12.8089
_cell_length_c 8.5068
_cell_angle_alpha 90.00
_cell_angle_beta 106.84
_cell_angle_gamma 90.00
_symmetry_space_group_name_H-M 'C 1 2/m 1'
_symmetry_Int_Tables_number 12
loop_
_symmetry_equiv_pos_as_xyz
'x,y,z'
'-x,-y,-z'
'-x,y,-z'
'x,-y,z'
'x+1/2,y+1/2,z'
'-x+1/2,-y+1/2,-z'
'-x+1/2,y+1/2,-z'
'x+1/2,-y+1/2,z'
loop_
_atom_site_label
_atom_site_type_symbol
_atom_site_fract_x
_atom_site_fract_y
_atom_site_fract_z
La1 La 0.2273 0.1662 0.1835
La2 La 0.2285 0.5000 0.1833
Tc1 Tc 0.0000 0.0000 0.0000
Os1 Os 0.0000 0.3332 0.0000
I1 I 0.0000 0.1654 0.5000
I2 I 0.0000 0.5000 0.5000